RbInNi3: optimized geometry, PBE.

Cell: 4.724 4.724 4.724 Å, 90.00 90.00 90.00°
Element x y z (fractional)
Ni 0.000 0.500 0.000
Ni 0.000 0.000 0.500
Ni 0.500 0.000 0.000
Rb 0.000 0.000 0.000
In 0.500 0.500 0.500

Properties
Space-group type: Pm-3m
Energy of formation, eV per atom: 1.86
ΔE to the lowest computed polymorph, meV/atom: 932
D(E_F), states/eV per atom: 0.363
Spin magnetization, Bohr magnetons per cell: 0.00
V, Å³ per cell: 105.4

RbIn2Ni2: optimized geometry, PBE.

Cell: 4.686 4.686 6.522 Å, 68.95 68.95 90.00°
Element x y z (fractional)
Ni 0.750 0.250 0.500
Ni 0.250 0.750 0.500
Rb 0.000 0.000 0.000
In 0.347 0.347 0.306
In 0.653 0.653 0.694

Properties
Space-group type: I4/mmm
Energy of formation, eV per atom: 0.16
ΔE to the lowest computed polymorph, meV/atom: 0
D(E_F), states/eV per atom: 0.829
Spin magnetization, Bohr magnetons per cell: 0.00
V, Å³ per cell: 123.3

Rb2In4Ni: optimized geometry, PBE.

Cell: 5.031 5.031 10.704 Å, 76.41 76.41 90.00°
Element x y z (fractional)
Ni 0.000 0.000 0.000
Rb 0.674 0.674 0.652
Rb 0.326 0.326 0.348
In 0.876 0.876 0.248
In 0.124 0.124 0.752
In 0.000 0.500 0.000
In 0.500 0.000 0.000

Properties
Space-group type: I4/mmm
Energy of formation, eV per atom: -0.03
D(E_F), states/eV per atom: 0.659
Spin magnetization, Bohr magnetons per cell: 0.00
V, Å³ per cell: 255.5

RbInNi3: optimized geometry, PBE.

Cell: 4.919 4.919 4.919 Å, 90.00 90.00 90.00°
Element x y z (fractional)
Ni 0.000 0.500 0.000
Ni 0.000 0.000 0.500
Ni 0.500 0.000 0.000
Rb 0.500 0.500 0.500
In 0.000 0.000 0.000

Properties
Space-group type: Pm-3m
Energy of formation, eV per atom: 0.92
ΔE to the lowest computed polymorph, meV/atom: 0
D(E_F), states/eV per atom: 0.532
Spin magnetization, Bohr magnetons per cell: 0.00
V, Å³ per cell: 119.0

RbIn3Ni: optimized geometry, PBE.

Cell: 6.271 6.271 6.271 Å, 90.00 90.00 90.00°
Element x y z (fractional)
Ni 0.500 0.500 0.500
Rb 0.000 0.000 0.000
In 0.000 0.500 0.000
In 0.000 0.000 0.500
In 0.500 0.000 0.000

Properties
Space-group type: Pm-3m
Energy of formation, eV per atom: 1.58
ΔE to the lowest computed polymorph, meV/atom: 1621
D(E_F), states/eV per atom: 2.001
Spin magnetization, Bohr magnetons per cell: 0.00
V, Å³ per cell: 246.6

RbIn2Ni2: optimized geometry, PBE.

Cell: 4.644 4.644 6.260 Å, 68.23 68.23 90.00°
Element x y z (fractional)
Ni 0.385 0.385 0.230
Ni 0.615 0.615 0.770
Rb 0.000 0.000 0.000
In 0.750 0.250 0.500
In 0.250 0.750 0.500

Properties
Space-group type: I4/mmm
Energy of formation, eV per atom: 0.21
ΔE to the lowest computed polymorph, meV/atom: 44
D(E_F), states/eV per atom: 0.680
Spin magnetization, Bohr magnetons per cell: 0.00
V, Å³ per cell: 114.9

RbInReNi2: optimized geometry, PBE.

Cell: 4.959 5.217 4.959 Å, 90.00 90.00 90.00°
Each line ends with the local moment (μB).
Element x y z (fractional)
Re 0.000 0.500 0.000  2.45
Ni 0.000 0.000 0.500  0.42
Ni 0.500 0.000 0.000  0.30
Rb 0.500 0.500 0.500  0.02
In 0.000 0.000 0.000  -0.06

Properties
Space-group type: P4/mmm
Energy of formation, eV per atom: 1.63
D(E_F), states/eV per atom: 1.725
Spin magnetization, Bohr magnetons per cell: 3.50
V, Å³ per cell: 128.3

RbIn2NiSn: optimized geometry, PBE.

Cell: 5.175 5.175 5.174 Å, 90.00 90.00 90.00°
Element x y z (fractional)
Ni 0.000 0.000 0.000
Sn 0.000 0.000 0.500
Rb 0.500 0.500 0.500
In 0.000 0.500 0.000
In 0.500 0.000 0.000

Properties
Space-group type: P4/mmm
Energy of formation, eV per atom: -0.01
D(E_F), states/eV per atom: 0.743
Spin magnetization, Bohr magnetons per cell: 0.00
V, Å³ per cell: 138.6

> Which of these has the highest V?

Rb2In4Ni